(1)
Computed, not measured: crystalline TcOs3Rh at its relaxed geometry at the PBE level of DFT.

The structure belongs to space group Pm-3m (No. 221); the cell edges are 4.6103, 4.6103 and 4.6103 Å and the angles 90.00°, 90.00° and 90.00°. The asymmetric unit holds Tc at (0.0000, 0.0000, 0.0000), Os at (0.0000, 0.0000, 0.5000) and Rh at (0.5000, 0.5000, 0.5000).

The density of states at the Fermi level comes out at 1.90 states/eV/atom. For the size of the total moment, the calculation gives 2.0 μB per formula unit. Its formation enthalpy at 0 K is 2.3709 eV per atom. The value obtained for the total energy is -7.910 eV per atom.

---

(2)
Computed, not measured: crystalline Tc2OsRh at its relaxed geometry at the PBE level of DFT.

The structure belongs to space group Pmm2 (No. 25); the cell edges are 2.7444, 4.3618 and 4.7788 Å and the angles 90.00°, 90.00° and 90.00°. The asymmetric unit holds Tc at (0.0000, 0.0000, 0.0000), Tc at (0.0000, 0.5000, 0.3316), Os at (0.5000, 0.5000, 0.8318) and Rh at (0.5000, 0.0000, 0.4916).

The density of states at the Fermi level comes out at 0.55 states/eV/atom. For the size of the total moment, the calculation gives 0.0 μB per formula unit. Its formation enthalpy at 0 K is -0.1293 eV per atom. The value obtained for the total energy is -9.958 eV per atom.

---

(3)
Computed, not measured: crystalline TcOs2Rh at its relaxed geometry at the PBE level of DFT.

The structure belongs to space group R3m (No. 160, hexagonal axes); the cell edges are 2.7322, 2.7322 and 26.6696 Å and the angles 90.00°, 90.00° and 120.00°. The asymmetric unit holds Tc at (0.0000, 0.0000, 0.0000), Os at (0.0000, 0.0000, 0.4993), Os at (0.0000, 0.0000, 0.7501) and Rh at (0.0000, 0.0000, 0.2503).

The density of states at the Fermi level comes out at 1.14 states/eV/atom. For the size of the total moment, the calculation gives 0.0 μB per formula unit. Its formation enthalpy at 0 K is 0.0732 eV per atom. The value obtained for the total energy is -9.971 eV per atom.

---

(4)
Computed, not measured: crystalline Tc2OsRh at its relaxed geometry at the PBE level of DFT.

The structure belongs to space group P-1 (No. 2); the cell edges are 5.4989, 5.5078 and 9.1361 Å and the angles 72.55°, 81.43° and 60.18°. The asymmetric unit holds Tc at (0.0770, 0.0234, 0.1292), Tc at (0.0801, 0.7726, 0.6231), Tc at (0.4142, 0.2277, 0.3755), Tc at (0.4145, 0.9770, 0.8745), Os at (0.4127, 0.7342, 0.3747), Os at (0.4140, 0.4837, 0.8734), Rh at (0.0814, 0.5233, 0.1230) and Rh at (0.0820, 0.2744, 0.6263).

The density of states at the Fermi level comes out at 0.71 states/eV/atom. For the size of the total moment, the calculation gives 0.0 μB per formula unit. Its formation enthalpy at 0 K is -0.1131 eV per atom. The value obtained for the total energy is -9.941 eV per atom.

---

(5)
Computed, not measured: crystalline Tc2OsRh at its relaxed geometry at the PBE level of DFT.

The structure belongs to space group P4/mmm (No. 123); the cell edges are 2.7191, 2.7191 and 7.7764 Å and the angles 90.00°, 90.00° and 90.00°. The asymmetric unit holds Tc at (0.0000, 0.0000, 0.2478), Os at (0.5000, 0.5000, 0.0000) and Rh at (0.5000, 0.5000, 0.5000).

The density of states at the Fermi level comes out at 0.85 states/eV/atom. For the size of the total moment, the calculation gives 0.0 μB per formula unit. Its formation enthalpy at 0 K is -0.0344 eV per atom. The value obtained for the total energy is -9.863 eV per atom.

---

(6)
Computed, not measured: crystalline Tc2OsRh at its relaxed geometry at the PBE level of DFT.

The structure belongs to space group Fm-3m (No. 225); the cell edges are 6.1738, 6.1738 and 6.1738 Å and the angles 90.00°, 90.00° and 90.00°. The asymmetric unit holds Tc at (0.2500, 0.2500, 0.2500), Os at (0.0000, 0.0000, 0.0000) and Rh at (0.0000, 0.0000, 0.5000).

The density of states at the Fermi level comes out at 1.07 states/eV/atom. For the size of the total moment, the calculation gives 0.0 μB per formula unit. Its formation enthalpy at 0 K is 0.4291 eV per atom. The value obtained for the total energy is -9.399 eV per atom.

---

(7)
Computed, not measured: crystalline Tc2OsRh at its relaxed geometry at the PBE level of DFT.

The structure belongs to space group P4mm (No. 99); the cell edges are 3.2438, 3.2438 and 5.5896 Å and the angles 90.00°, 90.00° and 90.00°. The asymmetric unit holds Tc at (0.0000, 0.0000, 0.0000), Tc at (0.5000, 0.5000, 0.2641), Os at (0.0000, 0.0000, 0.5223) and Rh at (0.5000, 0.5000, 0.7607).

The density of states at the Fermi level comes out at 1.06 states/eV/atom. For the size of the total moment, the calculation gives 0.0 μB per formula unit. Its formation enthalpy at 0 K is 0.3515 eV per atom. The value obtained for the total energy is -9.477 eV per atom.

---

(8)
Computed, not measured: crystalline Tc2OsRh6 at its relaxed geometry at the PBE level of DFT.

The structure belongs to space group C2/m (No. 12); the cell edges are 8.5911, 3.8389 and 8.1744 Å and the angles 90.00°, 107.99° and 90.00°. The asymmetric unit holds Tc at (0.1717, 0.0000, 0.0515), Os at (0.0000, 0.5000, 0.5000), Rh at (0.0025, 0.5000, 0.8337), Rh at (0.1640, 0.0000, 0.7248) and Rh at (0.1704, 0.0000, 0.3914).

The density of states at the Fermi level comes out at 1.32 states/eV/atom. For the size of the total moment, the calculation gives 0.0 μB per formula unit. Its formation enthalpy at 0 K is -0.0066 eV per atom. The value obtained for the total energy is -8.459 eV per atom.

---

(9)
Computed, not measured: crystalline TcOsRh3 at its relaxed geometry at the PBE level of DFT.

The structure belongs to space group Pm-3m (No. 221); the cell edges are 4.6822, 4.6822 and 4.6822 Å and the angles 90.00°, 90.00° and 90.00°. The asymmetric unit holds Tc at (0.0000, 0.0000, 0.0000), Os at (0.5000, 0.5000, 0.5000) and Rh at (0.0000, 0.5000, 0.5000).

The density of states at the Fermi level comes out at 1.00 states/eV/atom. For the size of the total moment, the calculation gives 4.3 μB per formula unit. Its formation enthalpy at 0 K is 1.6851 eV per atom. The value obtained for the total energy is -7.045 eV per atom.

---

(10)
Computed, not measured: crystalline TcOs3Rh at its relaxed geometry at the PBE level of DFT.

The structure belongs to space group P2_1/c (No. 14); the cell edges are 7.0187, 4.7678 and 9.3288 Å and the angles 90.00°, 113.83° and 90.00°. The asymmetric unit holds Tc at (0.1485, 0.1655, 0.1000), Os at (0.0480, 0.6690, 0.1997), Os at (0.3504, 0.1648, 0.8961), Os at (0.4493, 0.6700, 0.8009) and Rh at (0.2501, 0.6642, 0.9996).

The density of states at the Fermi level comes out at 0.69 states/eV/atom. For the size of the total moment, the calculation gives 0.0 μB per formula unit. Its formation enthalpy at 0 K is -0.0338 eV per atom. The value obtained for the total energy is -10.315 eV per atom.

---

(11)
Computed, not measured: crystalline TcOs2Rh6 at its relaxed geometry at the PBE level of DFT.

The structure belongs to space group R3m (No. 160, hexagonal axes); the cell edges are 5.2021, 5.2021 and 18.5489 Å and the angles 90.00°, 90.00° and 120.00°. The asymmetric unit holds Tc at (0.0000, 0.0000, 0.0000), Os at (0.0000, 0.0000, 0.6109), Os at (0.0000, 0.0000, 0.7357), Rh at (0.1707, 0.3415, 0.8958) and Rh at (0.1721, 0.3442, 0.1089).

The density of states at the Fermi level comes out at 1.04 states/eV/atom. For the size of the total moment, the calculation gives 0.0 μB per formula unit. Its formation enthalpy at 0 K is 0.4626 eV per atom. The value obtained for the total energy is -8.086 eV per atom.

---

(12)
Computed, not measured: crystalline Tc2Os2Rh7 at its relaxed geometry at the PBE level of DFT.

The structure belongs to space group C2/m (No. 12); the cell edges are 5.3438, 7.8965 and 7.8208 Å and the angles 90.00°, 98.65° and 90.00°. The asymmetric unit holds Tc at (0.2058, 0.0000, 0.3155), Os at (0.0000, 0.2298, 0.5000), Rh at (0.0000, 0.5000, 0.0000), Rh at (0.1073, 0.2196, 0.8509) and Rh at (0.1951, 0.5000, 0.3472).

The density of states at the Fermi level comes out at 1.05 states/eV/atom. For the size of the total moment, the calculation gives 0.0 μB per formula unit. Its formation enthalpy at 0 K is 0.1573 eV per atom. The value obtained for the total energy is -8.447 eV per atom.

---

> Which of these has the highest formation enthalpy at 0 K?

number 1